A plane-wave DFT calculation with PBE was carried out for a geometry-optimized Dy4Er2Cd structure. Values from VASP.

Computed properties:
- M_tot (μB per formula unit) = 0.000
- E (eV/atom) = -4.024
- density of states at the Fermi level (states/eV per cell) = 9.631
- formation enthalpy at 0 K (meV/atom) = 40.0

The structure in Quantum ESPRESSO input format:
```
&SYSTEM
  ibrav = 0, nat = 7, ntyp = 3
/
ATOMIC_SPECIES
Dy 162.50 Dy.upf
Er 167.26 Er.upf
Cd 112.41 Cd.upf
CELL_PARAMETERS angstrom
-1.859 -0.059 -2.935
1.242 -8.319 -0.619
-5.674 2.545 5.599
ATOMIC_POSITIONS crystal
Dy 0.632 0.394 0.263
Dy 0.368 0.606 0.737
Dy 0.081 0.703 0.163
Dy 0.919 0.297 0.837
Er 0.218 0.141 0.436
Er 0.782 0.859 0.564
Cd 0.000 0.000 0.000
```